VASP calculation (PBE) on crystalline Hg6OF8 at its relaxed geometry.

CIF file:
```
data_Hg6OF8
_chemical_formula_sum 'Hg6 O1 F8'
_cell_length_a 6.773
_cell_length_b 6.773
_cell_length_c 7.131
_cell_angle_alpha 61.65
_cell_angle_beta 61.65
_cell_angle_gamma 60.00
_space_group_name_H-M_alt 'P 1'
_space_group_IT_number 1
loop_
_space_group_symop_operation_xyz
'x,y,z'
loop_
_atom_site_label
_atom_site_type_symbol
_atom_site_fract_x
_atom_site_fract_y
_atom_site_fract_z
Hg1 Hg 0.363 0.095 0.778
Hg2 Hg 0.905 0.237 0.222
Hg3 Hg 0.237 0.637 0.222
Hg4 Hg 0.763 0.363 0.778
Hg5 Hg 0.095 0.763 0.778
Hg6 Hg 0.637 0.905 0.222
O1 O 0.000 0.000 0.000
F1 F 0.479 0.246 0.359
F2 F 0.754 0.084 0.641
F3 F 0.084 0.521 0.641
F4 F 0.648 0.648 0.055
F5 F 0.352 0.352 0.945
F6 F 0.916 0.479 0.359
F7 F 0.246 0.916 0.359
F8 F 0.521 0.754 0.641
```

Results
**Mass density**: 9.614 Mg/m³
**M_tot**: 0.0000 μB per atom
**Symmetry**: R-3 (148)
**Raw formation energy**: -17.28 eV/f.u.
**Total DFT energy (no corrections)**: -2.60 eV/atom